1.
# KY2Pt, optimized geometry, DFT PBE-GGA
data_KY2Pt
_chemical_formula_sum 'K2 Y4 Pt2'
_symmetry_space_group_name_H-M 'P 1'
_symmetry_Int_Tables_number 1
_symmetry_space_group_name_Hall 'P 1'
_cell_length_a 8.840
_cell_length_b 8.840
_cell_length_c 7.186
_cell_angle_alpha 52.04
_cell_angle_beta 52.04
_cell_angle_gamma 90.00
loop_
_atom_site_label
_atom_site_fract_x
_atom_site_fract_y
_atom_site_fract_z
Y1 0.030 0.625 0.250
Y2 0.720 0.125 0.250
Y3 0.375 0.280 0.750
Y4 0.875 0.970 0.750
Pt1 0.000 0.000 0.000
Pt2 0.750 0.250 0.500
K1 0.250 0.750 0.500
K2 0.500 0.500 0.000
# Volume: 34.6 A^3/atom
# Energy relative to the elements: -0.1118 eV per atom
# Energy: -5.128 eV/atom

2.
# K2YPt, optimized geometry, DFT PBE-GGA
data_K2YPt
_chemical_formula_sum 'K2 Y1 Pt1'
_symmetry_space_group_name_H-M 'P 1'
_symmetry_Int_Tables_number 1
_symmetry_space_group_name_Hall 'P 1'
_cell_length_a 5.430
_cell_length_b 5.430
_cell_length_c 5.430
_cell_angle_alpha 119.80
_cell_angle_beta 119.80
_cell_angle_gamma 90.35
loop_
_atom_site_label
_atom_site_fract_x
_atom_site_fract_y
_atom_site_fract_z
Pt1 0.500 0.500 0.000
Y1 0.750 0.250 0.500
K1 0.000 0.000 0.000
K2 0.250 0.750 0.500
# Volume: 28.4 A^3/atom
# Energy relative to the elements: 0.2188 eV per atom
# Energy: -3.456 eV/atom

3.
# K2YPt, optimized geometry, DFT PBE-GGA
data_K2YPt
_chemical_formula_sum 'K2 Y1 Pt1'
_symmetry_space_group_name_H-M 'P 1'
_symmetry_Int_Tables_number 1
_symmetry_space_group_name_Hall 'P 1'
_cell_length_a 3.303
_cell_length_b 3.303
_cell_length_c 12.019
_cell_angle_alpha 90.00
_cell_angle_beta 90.00
_cell_angle_gamma 90.01
loop_
_atom_site_label
_atom_site_fract_x
_atom_site_fract_y
_atom_site_fract_z
K1 0.000 0.000 0.065
K2 0.000 0.000 0.435
Y1 0.500 0.500 0.750
Pt1 0.500 0.500 0.250
# Volume: 32.8 A^3/atom
# Energy relative to the elements: 0.4150 eV per atom
# Energy: -3.260 eV/atom

Quick rundown of energy above the lowest structure with this stoichiometry, same order as above: 376; 539; 735 meV/atom